This record from Alexandria via LeMat-Bulk describes a relaxed structure of SbCl2F. The functional is GGA-PBE.

Lattice parameters (Å, degrees): 5.4933 7.6875 11.5913 94.97 90.00 90.00
Fractional positions:
1 Sb 0.9808 0.2614 0.5940
2 Sb 0.0192 0.7386 0.4060
3 Sb 0.4808 0.2386 0.9060
4 Sb 0.5192 0.7614 0.0940
5 Cl 0.7128 0.9704 0.8805
6 Cl 0.2872 0.0296 0.1195
7 Cl 0.2128 0.5296 0.6195
8 Cl 0.7872 0.4704 0.3805
9 Cl 0.7463 0.3698 0.0557
10 Cl 0.2537 0.6302 0.9443
11 Cl 0.2463 0.1302 0.4443
12 Cl 0.7537 0.8698 0.5557
13 F 0.3203 0.6660 0.2161
14 F 0.6797 0.3340 0.7839
15 F 0.8203 0.8340 0.2839
16 F 0.1797 0.1660 0.7161

Summary:
magnetization: 0.00 μB per formula unit
density: 2.883 g/cm³
energy relative to the lowest polymorph listed for this composition: 0.00 eV per formula unit